# 1
This record from the Alexandria database describes a geometry-optimized V4NiIr7 structure. The functional is PBE-GGA.

Structure (extended XYZ):
```
12
Lattice="5.9673 -2.1943 0.0000 5.9673 2.1943 0.0000 -5.5996 0.0000 7.0564" Properties=species:S:1:pos:R:3 pbc="T T T"
V -0.6883 0.0000 2.0439
V -2.1575 0.0000 5.9404
V 8.4924 0.0000 1.1159
V 7.0232 0.0000 5.0124
Ni 3.1674 0.0000 3.5282
Ir -2.7998 0.0000 3.5282
Ir 1.2760 0.0000 0.5552
Ir -0.1568 0.0000 4.5214
Ir 4.0610 0.0000 1.2234
Ir 2.2739 0.0000 5.8330
Ir 6.4917 0.0000 2.5350
Ir 5.0589 0.0000 6.5011
```

Properties
- magnetic moment (μB/f.u.) = 0.7
- formation energy from the elements (eV/atom) = 0.027
- mass density (g/cm³) = 14.4

---

# 2
This record from the Alexandria database describes a geometry-optimized VNi6Ir structure. The functional is PBE-GGA.

Structure (extended XYZ):
```
8
Lattice="2.3580 1.3614 6.0392 -2.3580 1.3614 6.0392 0.0000 -2.7227 6.0392" Properties=species:S:1:pos:R:3 pbc="T T T"
V 0.0000 0.0000 0.0000
Ni 0.0000 -1.3342 4.2129
Ni -1.1555 0.6671 4.2129
Ni -1.1555 -0.6671 13.9047
Ni 1.1555 0.6671 4.2129
Ni 1.1555 -0.6671 13.9047
Ni 0.0000 1.3342 13.9047
Ir 0.0000 0.0000 9.0588
```

Properties
- ΔE to the lowest computed polymorph (eV/atom) = 0.664
- magnetic moment (μB/f.u.) = 1.6
- formation energy from the elements (eV/atom) = 0.531
- mass density (g/cm³) = 8.5

---

# 3
This record from the Alexandria database describes a geometry-optimized V2Ni2Ir structure. The functional is PBE-GGA.

Structure (extended XYZ):
```
5
Lattice="2.1664 -3.1891 0.0000 2.1664 3.1891 0.0000 0.0000 0.0000 4.9406" Properties=species:S:1:pos:R:3 pbc="T T T"
V 0.0000 0.0000 1.2115
V 0.0000 0.0000 3.7291
Ni 2.1664 1.1127 0.0000
Ni 2.1664 -1.1127 0.0000
Ir 2.1664 0.0000 2.4703
```

Properties
- ΔE to the lowest computed polymorph (eV/atom) = 0.366
- magnetic moment (μB/f.u.) = 0.0
- formation energy from the elements (eV/atom) = 0.132
- mass density (g/cm³) = 10.0

---

# 4
This record from the Alexandria database describes a geometry-optimized V2Ni3Ir4 structure. The functional is PBE-GGA.

Structure (extended XYZ):
```
9
Lattice="4.1003 -1.8975 0.0000 4.1003 1.8975 0.0000 -2.2056 0.0000 7.5586" Properties=species:S:1:pos:R:3 pbc="T T T"
V 0.9095 0.0000 1.6539
V 5.0855 0.0000 5.9046
Ni 0.1512 0.0000 4.1567
Ni 4.1003 0.0000 0.0000
Ni 5.8439 0.0000 3.4019
Ir -0.6356 0.0000 6.7062
Ir 2.5974 0.0000 5.0076
Ir 3.3977 0.0000 2.5509
Ir 6.6307 0.0000 0.8523
```

Properties
- magnetic moment (μB/f.u.) = 0.0
- formation energy from the elements (eV/atom) = -0.305
- mass density (g/cm³) = 14.8

---

# 5
This record from the Alexandria database describes a geometry-optimized V3Ni4Ir structure. The functional is PBE-GGA.

Structure (extended XYZ):
```
16
Lattice="7.2407 0.0000 0.0000 0.0000 5.1951 0.0000 0.0000 0.0000 5.1920" Properties=species:S:1:pos:R:3 pbc="T T T"
V 0.0000 0.0000 0.0000
V 1.8102 1.2958 1.2980
V 1.8102 3.8993 3.8940
V 3.6204 0.0000 2.5960
V 5.4305 1.2958 1.2980
V 5.4305 3.8993 3.8940
Ni 0.0000 0.0000 2.5960
Ni 0.0000 2.5976 2.5960
Ni 1.8102 1.2514 3.8940
Ni 1.8102 3.9438 1.2980
Ni 3.6204 0.0000 0.0000
Ni 3.6204 2.5976 0.0000
Ni 5.4305 1.2514 3.8940
Ni 5.4305 3.9438 1.2980
Ir 0.0000 2.5976 0.0000
Ir 3.6204 2.5976 2.5960
```

Properties
- magnetic moment (μB/f.u.) = 0.0
- formation energy from the elements (eV/atom) = -0.221
- mass density (g/cm³) = 9.9

---

# 6
This record from the Alexandria database describes a geometry-optimized VNi3Ir structure. The functional is PBE-GGA.

Structure (extended XYZ):
```
5
Lattice="4.0644 -1.8157 0.0000 4.0644 1.8157 0.0000 -4.0263 0.0000 4.0840" Properties=species:S:1:pos:R:3 pbc="T T T"
V 0.0000 0.0000 0.0000
Ni -0.8005 0.0000 2.3963
Ni 2.4264 0.0000 0.8415
Ni 4.8770 0.0000 1.6273
Ir 1.6183 0.0000 3.2768
```

Properties
- ΔE to the lowest computed polymorph (eV/atom) = 0.000
- magnetic moment (μB/f.u.) = 0.5
- formation energy from the elements (eV/atom) = -0.210
- mass density (g/cm³) = 11.5

---

# 7
This record from the Alexandria database describes a geometry-optimized VNiIr3 structure. The functional is PBE-GGA.

Structure (extended XYZ):
```
5
Lattice="4.4277 0.0000 0.0000 0.0000 4.4277 0.0000 0.0000 0.0000 4.4277" Properties=species:S:1:pos:R:3 pbc="T T T"
V 0.0000 0.0000 0.0000
Ni 2.2139 2.2139 2.2139
Ir 0.0000 2.2139 2.2139
Ir 2.2139 0.0000 2.2139
Ir 2.2139 2.2139 0.0000
```

Properties
- ΔE to the lowest computed polymorph (eV/atom) = 1.666
- magnetic moment (μB/f.u.) = 0.4
- formation energy from the elements (eV/atom) = 1.360
- mass density (g/cm³) = 13.1

---

# 8
This record from the Alexandria database describes a geometry-optimized VNi6Ir structure. The functional is PBE-GGA.

Structure (extended XYZ):
```
8
Lattice="3.5387 0.0000 0.0000 0.0000 3.6392 3.6028 0.0000 -3.6392 3.6028" Properties=species:S:1:pos:R:3 pbc="T T T"
V 0.0000 0.0000 0.0000
Ni 0.0000 -1.7767 1.7705
Ni 0.0000 1.7767 1.7705
Ni 0.0000 0.0000 3.5438
Ni 1.7694 0.0000 1.7883
Ni 1.7694 -1.8023 3.6072
Ni 1.7694 1.8023 3.6072
Ir 1.7694 0.0000 5.4207
```

Properties
- ΔE to the lowest computed polymorph (eV/atom) = 0.000
- magnetic moment (μB/f.u.) = 1.9
- formation energy from the elements (eV/atom) = -0.133
- mass density (g/cm³) = 10.7

---

# 9
This record from the Alexandria database describes a geometry-optimized V3Ni6Ir structure. The functional is PBE-GGA.

Structure (extended XYZ):
```
20
Lattice="4.0555 -7.0146 0.0000 4.0555 7.0146 0.0000 0.0000 0.0000 4.3631" Properties=species:S:1:pos:R:3 pbc="T T T"
V 4.0555 5.5574 2.1816
V 2.6960 1.4386 0.5902
V 2.6960 -1.4386 2.7718
V 5.4151 1.4386 0.5902
V 5.4151 -1.4386 2.7718
V 4.0555 -5.5574 0.0000
Ni 2.0225 2.8549 3.2294
Ni 1.2970 0.6306 2.4085
Ni 4.0555 4.2288 4.1029
Ni 1.2970 -0.6306 0.2269
Ni 2.0225 -2.8549 1.0478
Ni 4.0555 0.6323 2.8474
Ni 4.0555 -0.6323 0.6658
Ni 6.0885 2.8549 3.2294
Ni 6.8140 0.6306 2.4085
Ni 4.0555 -4.2288 1.9214
Ni 6.8140 -0.6306 0.2269
Ni 6.0885 -2.8549 1.0478
Ir 4.0555 2.9894 1.9128
Ir 4.0555 -2.9894 4.0943
```

Properties
- magnetic moment (μB/f.u.) = 0.0
- formation energy from the elements (eV/atom) = -0.036
- mass density (g/cm³) = 9.3

---

# 10
This record from the Alexandria database describes a geometry-optimized V4NiIr structure. The functional is PBE-GGA.

Structure (extended XYZ):
```
6
Lattice="4.0582 0.0000 0.0000 0.0000 4.0582 0.0000 0.0000 0.0000 5.6979" Properties=species:S:1:pos:R:3 pbc="T T T"
V 0.0000 2.0291 1.3679
V 0.0000 2.0291 4.3300
V 2.0291 0.0000 1.3679
V 2.0291 0.0000 4.3300
Ni 0.0000 0.0000 0.0000
Ir 2.0291 2.0291 2.8489
```

Properties
- magnetic moment (μB/f.u.) = 0.0
- formation energy from the elements (eV/atom) = 0.287
- mass density (g/cm³) = 8.0

---

# 11
This record from the Alexandria database describes a geometry-optimized V4Ni5Ir4 structure. The functional is PBE-GGA.

Structure (extended XYZ):
```
13
Lattice="-4.7098 4.7098 1.8849 4.7098 -4.7098 1.8849 4.7098 4.7098 -1.8849" Properties=species:S:1:pos:R:3 pbc="T T T"
V 2.1405 1.3076 0.0000
V 3.4021 -2.5693 1.8849
V 1.3076 7.2790 0.0000
V 2.5693 3.4021 1.8849
Ni 0.0000 0.0000 0.0000
Ni 4.3216 2.9834 0.0000
Ni 1.7263 -0.3881 1.8849
Ni 2.9834 5.0979 0.0000
Ni 0.3881 1.7263 1.8849
Ir 5.9173 0.8952 0.0000
Ir 0.8952 3.5022 0.0000
Ir 3.8145 1.2076 1.8849
Ir -1.2076 3.8145 1.8849
```

Properties
- magnetic moment (μB/f.u.) = 0.0
- formation energy from the elements (eV/atom) = -0.284
- mass density (g/cm³) = 12.6

---

# 12
This record from the Alexandria database describes a geometry-optimized V2Ni2Ir structure. The functional is PBE-GGA.

Structure (extended XYZ):
```
10
Lattice="6.6590 0.0000 0.0000 0.0000 6.6590 0.0000 0.0000 0.0000 2.8319" Properties=species:S:1:pos:R:3 pbc="T T T"
V 1.1726 2.1569 0.0000
V 2.1569 5.4864 0.0000
V 4.5021 1.1726 0.0000
V 5.4864 4.5021 0.0000
Ni 0.8275 4.1570 1.4159
Ni 2.5020 0.8275 1.4159
Ni 4.1570 5.8315 1.4159
Ni 5.8315 2.5020 1.4159
Ir 0.0000 0.0000 1.4159
Ir 3.3295 3.3295 1.4159
```

Properties
- ΔE to the lowest computed polymorph (eV/atom) = 0.000
- magnetic moment (μB/f.u.) = 0.7
- formation energy from the elements (eV/atom) = -0.235
- mass density (g/cm³) = 10.9